No. 1
GGA-PBE Rb2Li2PuBr6, relaxed; raw total energy = -46.7 eV for the cell shown; space-group type = R-3m (166); M_tot = 5.9 μB/f.u.; calculated density = 3.50 Mg/m³
1.0
4.051 2.339 7.574
-4.051 2.339 7.574
0.000 -4.678 7.574
Rb Li Pu Br
2 2 1 6
direct
0.209 0.209 0.209
0.791 0.791 0.791
0.417 0.417 0.417
0.583 0.583 0.583
0.000 0.000 0.000
0.236 0.752 0.752
0.248 0.248 0.764
0.248 0.764 0.248
0.752 0.236 0.752
0.752 0.752 0.236
0.764 0.248 0.248

***

No. 2
GGA-PBE VMo2Os, relaxed; raw total energy = -41.5 eV for the cell shown; space-group type = P4/mmm (123); M_tot = 0.0 μB/f.u.; calculated density = 11.94 Mg/m³
1.0
3.817 0.000 0.000
0.000 3.817 0.000
0.000 0.000 4.134
V Mo Os
1 2 1
direct
0.000 0.000 0.000
0.000 0.500 0.500
0.500 0.000 0.500
0.500 0.500 0.000

***

Q: The lowest calculated density belongs to which entry?
A: Rb2Li2PuBr6

***

Q: Which formula does entry 2 have?
A: VMo2Os

***

Q: What is the calculated density in the first record?
A: 3.50 Mg/m³